No. 1
The following is a DFT calculation (PBE-GGA) of a geometry-optimized La2Tl2Pd3Pt structure.

Calculated values
Total magnetization (μB per atom): 0.00
VASP energy (eV/cell): -41.71
ρ (Mg/m³): 11.03

Lattice parameters (Å, degrees): 4.755 4.755 9.236 90.00 90.00 120.00
Fractional positions:
Tl 0.667 0.333 0.998
Tl 0.667 0.333 0.502
La 0.333 0.667 0.246
La 0.000 0.000 0.753
Pt 0.000 0.000 0.093
Pd 0.000 0.000 0.417
Pd 0.333 0.667 0.586
Pd 0.333 0.667 0.907


No. 2
The following is a DFT calculation (PBE-GGA) of a geometry-optimized La2Zn4PdPt structure.

Calculated values
Total magnetization (μB per atom): 0.00
VASP energy (eV/cell): -31.46
ρ (Mg/m³): 8.53

Lattice parameters (Å, degrees): 7.685 5.470 5.470 45.42 90.00 90.00
Fractional positions:
Zn 0.699 0.351 0.351
Zn 0.196 0.648 0.648
Zn 0.804 0.648 0.648
Zn 0.301 0.351 0.351
La 0.000 0.935 0.935
La 0.500 0.067 0.067
Pd 0.000 0.216 0.216
Pt 0.500 0.783 0.783


No. 3
The following is a DFT calculation (PBE-GGA) of a geometry-optimized LaPuPd structure.

Calculated values
Total magnetization (μB per atom): 2.08
Relative energy among the computed polymorphs (meV/atom): 119.6
VASP energy (eV/cell): -24.13
ρ (Mg/m³): 10.42

Lattice parameters (Å, degrees): 4.795 4.795 4.795 60.00 60.00 60.00
Fractional positions:
Pu 0.750 0.750 0.750
La 0.000 0.000 0.000
Pd 0.250 0.250 0.250


No. 4
The following is a DFT calculation (PBE-GGA) of a geometry-optimized LaPuPd structure.

Calculated values
Total magnetization (μB per atom): 2.06
Relative energy among the computed polymorphs (meV/atom): 0.0
VASP energy (eV/cell): -24.49
ρ (Mg/m³): 10.42

Lattice parameters (Å, degrees): 4.796 4.796 4.796 60.00 60.00 60.00
Site moments in Bohr magnetons follow the coordinates.
Fractional positions:
Pd 0.000 0.000 0.000  -0.05
Pu 0.250 0.250 0.250  5.51
La 0.500 0.500 0.500  0.44


No. 5
The following is a DFT calculation (PBE-GGA) of a geometry-optimized RbLaPdSe3 structure.

Calculated values
Total magnetization (μB per atom): 0.00
VASP energy (eV/cell): -57.27
ρ (Mg/m³): 4.99

Lattice parameters (Å, degrees): 8.597 8.597 10.294 90.00 90.00 150.24
Fractional positions:
Rb 0.753 0.247 0.750
Rb 0.247 0.753 0.250
Se 0.610 0.390 0.093
Se 0.390 0.610 0.593
Se 0.610 0.390 0.407
Se 0.094 0.906 0.750
Se 0.390 0.610 0.907
Se 0.906 0.094 0.250
La 0.000 0.000 0.500
La 0.000 0.000 0.000
Pd 0.504 0.496 0.750
Pd 0.496 0.504 0.250


No. 6
The following is a DFT calculation (PBE-GGA) of a geometry-optimized RbLaTe3Pd structure.

Calculated values
Total magnetization (μB per atom): 0.00
VASP energy (eV/cell): -106.70
ρ (Mg/m³): 5.99

Lattice parameters (Å, degrees): 11.086 4.924 14.502 90.00 90.00 90.00
Fractional positions:
La 0.475 0.250 0.659
La 0.025 0.750 0.159
La 0.525 0.750 0.341
La 0.975 0.250 0.841
Pd 0.322 0.250 0.253
Pd 0.178 0.750 0.753
Pd 0.822 0.250 0.247
Pd 0.678 0.750 0.747
Te 0.182 0.250 0.676
Te 0.818 0.750 0.324
Te 0.617 0.750 0.563
Te 0.425 0.750 0.801
Te 0.075 0.250 0.301
Te 0.925 0.750 0.699
Te 0.383 0.250 0.437
Te 0.117 0.750 0.937
Te 0.883 0.250 0.063
Te 0.575 0.250 0.199
Te 0.682 0.250 0.824
Te 0.318 0.750 0.176
Rb 0.849 0.250 0.519
Rb 0.349 0.250 0.981
Rb 0.651 0.750 0.019
Rb 0.151 0.750 0.481


Which of these has the lowest ρ? RbLaPdSe3